Record 1
## RbV2CrS (PBE)

Data for a relaxed RbV2CrS crystal. Values from VASP.

ΔE_f (raw): 2.921 eV per atom

```
&SYSTEM
  ibrav = 0, nat = 5, ntyp = 4
/
ATOMIC_SPECIES
Rb 85.47 Rb.upf
V 50.94 V.upf
Cr 52.00 Cr.upf
S 32.06 S.upf
CELL_PARAMETERS angstrom
4.5581 0.0000 0.0000
0.0000 4.5581 0.0000
0.0000 0.0000 4.4109
ATOMIC_POSITIONS crystal
Rb 0.0000 0.0000 0.0000
V 0.0000 0.5000 0.0000
V 0.5000 0.0000 0.0000
Cr 0.0000 0.0000 0.5000
S 0.5000 0.5000 0.5000
```

***

Record 2
## RbZrCrS2 (PBE)

Data for a relaxed RbZrCrS2 crystal. Values from VASP.

ΔE_f (raw): 0.778 eV per atom

```
&SYSTEM
  ibrav = 0, nat = 5, ntyp = 4
/
ATOMIC_SPECIES
Rb 85.47 Rb.upf
Zr 91.22 Zr.upf
Cr 52.00 Cr.upf
S 32.06 S.upf
CELL_PARAMETERS angstrom
4.6829 0.0000 0.0000
0.0000 4.6829 0.0000
0.0000 0.0000 4.9366
ATOMIC_POSITIONS crystal
Rb 0.0000 0.0000 0.0000
Zr 0.5000 0.5000 0.0000
Cr 0.0000 0.0000 0.5000
S 0.0000 0.5000 0.5000
S 0.5000 0.0000 0.5000
```

***

Record 3
## Rb3Zr3CrS8 (PBE)

Data for a relaxed Rb3Zr3CrS8 crystal. Values from VASP.

ΔE_f (raw): -1.358 eV per atom

```
&SYSTEM
  ibrav = 0, nat = 15, ntyp = 4
/
ATOMIC_SPECIES
Rb 85.47 Rb.upf
Zr 91.22 Zr.upf
Cr 52.00 Cr.upf
S 32.06 S.upf
CELL_PARAMETERS angstrom
3.7159 2.1454 7.8796
-3.7159 2.1454 7.8796
0.0000 -4.2907 7.8796
ATOMIC_POSITIONS crystal
Rb 0.0000 0.5000 0.5000
Rb 0.5000 0.0000 0.5000
Rb 0.5000 0.5000 0.0000
Zr 0.0000 0.0000 0.5000
Zr 0.0000 0.5000 0.0000
Zr 0.5000 0.0000 0.0000
Cr 0.5000 0.5000 0.5000
S 0.2305 0.2305 0.2305
S 0.2379 0.7212 0.7212
S 0.2788 0.2788 0.7621
S 0.2788 0.7621 0.2788
S 0.7212 0.2379 0.7212
S 0.7212 0.7212 0.2379
S 0.7621 0.2788 0.2788
S 0.7695 0.7695 0.7695
```

***

| no. | total DFT energy (no corrections) (eV/atom) |
| --- | --- |
| 1 | -3.670 |
| 2 | -4.701 |
| 3 | -6.104 |